No. 1
Entry from Alexandria via LeMat-Bulk: a relaxed structure of GaAs3Rh (GGA-PBEsol).

POSCAR file:
```
GaAs3Rh
1.0
4.6834 0.0000 0.0000
0.0000 4.6834 0.0000
0.0000 0.0000 4.6834
Ga As Rh
1 3 1
Direct
0.0000 0.0000 0.0000
0.0000 0.0000 0.5000
0.0000 0.5000 0.0000
0.5000 0.0000 0.0000
0.5000 0.5000 0.5000
```

Properties
Uncorrected energy, eV per atom: -4.290
DOS at the Fermi energy, states/eV per cell: 3.9
Total moment, μB per cell: 0.001

---

No. 2
Entry from Alexandria via LeMat-Bulk: a relaxed structure of Ca2Si2Hg (GGA-PBEsol).

POSCAR file:
```
Ca2Si2Hg
1.0
-2.8916 2.8916 3.8183
2.8916 -2.8916 3.8183
2.8916 2.8916 -3.8183
Ca Si Hg
2 2 1
Direct
0.2500 0.7500 0.5000
0.7500 0.2500 0.5000
0.1534 0.1534 0.0000
0.8466 0.8466 0.0000
0.5000 0.5000 0.0000
```

Properties
E_form (uncorrected), meV/atom: -99.5
DOS at the Fermi energy, states/eV per cell: 2.9
Total moment, μB per cell: 0.000
Energy above the most stable polymorph in this dataset, eV/atom: 0.344

---

No. 3
Entry from Alexandria via LeMat-Bulk: a relaxed structure of Cr2CoRu (GGA-PBEsol).

POSCAR file:
```
Cr2CoRu
1.0
4.0829 0.0000 0.0000
0.0000 4.0829 0.0000
0.0000 0.0000 2.8607
Cr Co Ru
2 1 1
Direct
0.0000 0.5000 0.0000
0.5000 0.0000 0.0000
0.0000 0.0000 0.5000
0.5000 0.5000 0.5000
```

Properties
Uncorrected energy, eV per atom: -9.361
DOS at the Fermi energy, states/eV per cell: 4.3
Total moment, μB per cell: 4.540

---

Which of these has the lowest total moment?
Ca2Si2Hg

---

Which of these has the lowest DOS at the Fermi energy?
Ca2Si2Hg